[1]
The following is a GGA-PBE calculation of BeIn2TeS after structural relaxation, from Alexandria.

The structure in POSCAR format:
```
BeIn2TeS
1.0
-2.4081 4.7496 0.9008
-3.6625 -1.1580 -3.6853
-3.0923 -2.2869 3.7917
S In Be Te
1 2 1 1
Direct
0.0000 0.0000 0.0000
0.0000 0.0000 0.5000
0.5000 0.0000 0.0000
0.5000 0.5000 0.5000
0.0000 0.5000 0.0000
```

Values from the calculation:
Formation energy (no corrections) = 0.71 eV/atom
Density of states at the Fermi level = 0.441 states/eV/atom

[2]
The following is a GGA-PBE calculation of TiBeIn2S after structural relaxation, from Alexandria.

The structure in POSCAR format:
```
TiBeIn2S
1.0
5.5973 0.0000 0.0000
0.0000 3.6104 0.0000
0.0000 0.0000 5.5973
In Be Ti S
2 1 1 1
Direct
0.5000 0.0000 0.0000
0.0000 0.0000 0.5000
0.0000 0.5000 0.0000
0.5000 0.5000 0.5000
0.0000 0.0000 0.0000
```

Values from the calculation:
Formation energy (no corrections) = 0.45 eV/atom
Density of states at the Fermi level = 1.585 states/eV/atom

[3]
The following is a GGA-PBE calculation of BeIn2Sb after structural relaxation, from Alexandria.

The structure in POSCAR format:
```
BeIn2Sb
1.0
0.0000 3.6492 3.6492
3.6492 0.0000 3.6492
3.6492 3.6492 0.0000
In Sb Be
2 1 1
Direct
0.7500 0.7500 0.7500
0.2500 0.2500 0.2500
0.5000 0.5000 0.5000
0.0000 0.0000 0.0000
```

Values from the calculation:
Formation energy (no corrections) = 0.53 eV/atom
Density of states at the Fermi level = 0.512 states/eV/atom

[4]
The following is a GGA-PBE calculation of BeIn2Sb after structural relaxation, from Alexandria.

The structure in POSCAR format:
```
BeIn2Sb
1.0
-2.1431 2.3413 -2.7933
-2.9044 0.8701 2.9577
2.7370 4.2279 1.4438
In Sb Be
2 1 1
Direct
0.0000 0.0000 0.0000
0.5000 0.5000 0.0000
0.5000 0.0000 0.5000
0.0000 0.5000 0.5000
```

Values from the calculation:
Formation energy (no corrections) = 0.46 eV/atom
Density of states at the Fermi level = 0.703 states/eV/atom

[5]
The following is a GGA-PBE calculation of BeIn2Sb after structural relaxation, from Alexandria.

The structure in POSCAR format:
```
BeIn2Sb
1.0
-2.3471 5.3134 2.2460
0.2957 1.6930 5.9859
3.5708 -2.1659 -4.6199
In Be Sb
2 1 1
Direct
0.5000 0.5000 0.0000
0.0000 0.0000 0.0000
0.7500 0.2500 0.5000
0.2500 0.7500 0.5000
```

Values from the calculation:
Formation energy (no corrections) = 0.46 eV/atom
Density of states at the Fermi level = 0.400 states/eV/atom

[6]
The following is a GGA-PBE calculation of BeInSb4 after structural relaxation, from Alexandria.

The structure in POSCAR format:
```
BeInSb4
1.0
0.0000 4.4198 4.4198
4.4198 0.0000 4.4198
4.4198 4.4198 0.0000
In Sb Be
1 4 1
Direct
0.0000 0.0000 0.0000
0.8735 0.3755 0.3755
0.3755 0.3755 0.3755
0.3755 0.3755 0.8735
0.3755 0.8735 0.3755
0.7500 0.7500 0.7500
```

Values from the calculation:
Formation energy (no corrections) = 0.59 eV/atom
Density of states at the Fermi level = 0.138 states/eV/atom

[7]
The following is a GGA-PBE calculation of BeIn2Sb after structural relaxation, from Alexandria.

The structure in POSCAR format:
```
BeIn2Sb
1.0
5.1151 0.0000 0.0000
2.5576 4.4298 0.0000
2.5576 1.4766 4.1765
Sb Be In
1 1 2
Direct
0.2500 0.2500 0.2500
0.5000 0.5000 0.5000
0.7500 0.7500 0.7500
0.0000 0.0000 0.0000
```

Values from the calculation:
Formation energy (no corrections) = 0.49 eV/atom
Density of states at the Fermi level = 0.509 states/eV/atom

[8]
The following is a GGA-PBE calculation of BeIn2Sb after structural relaxation, from Alexandria.

The structure in POSCAR format:
```
BeIn2Sb
1.0
3.2747 0.0000 0.0000
0.0000 3.2734 0.0000
0.0000 0.0000 8.3632
In Be Sb
2 1 1
Direct
0.0000 0.0000 0.5538
0.0000 0.0000 0.9462
0.5000 0.5000 0.7500
0.5000 0.5000 0.2500
```

Values from the calculation:
Formation energy (no corrections) = 0.39 eV/atom
Density of states at the Fermi level = 0.412 states/eV/atom

[9]
The following is a GGA-PBE calculation of BeIn2Sb after structural relaxation, from Alexandria.

The structure in POSCAR format:
```
BeIn2Sb
1.0
4.9202 -0.0114 0.0000
-1.4329 4.7069 0.0000
0.0000 0.0000 4.1449
Sb In Be
1 2 1
Direct
0.5000 0.0000 0.5000
0.0000 0.0000 0.0000
0.5000 0.5000 0.0000
0.0000 0.5000 0.5000
```

Values from the calculation:
Formation energy (no corrections) = 0.49 eV/atom
Density of states at the Fermi level = 0.356 states/eV/atom

[10]
The following is a GGA-PBE calculation of Be4InSb after structural relaxation, from Alexandria.

The structure in POSCAR format:
```
Be4InSb
1.0
0.0000 3.5048 3.5048
3.5048 0.0000 3.5048
3.5048 3.5048 0.0000
In Be Sb
1 4 1
Direct
0.7500 0.7500 0.7500
0.8704 0.3765 0.3765
0.3765 0.8704 0.3765
0.3765 0.3765 0.3765
0.3765 0.3765 0.8704
0.0000 0.0000 0.0000
```

Values from the calculation:
Formation energy (no corrections) = 0.57 eV/atom
Density of states at the Fermi level = 0.675 states/eV/atom

[11]
The following is a GGA-PBE calculation of BeIn2Sb after structural relaxation, from Alexandria.

The structure in POSCAR format:
```
BeIn2Sb
1.0
4.1027 0.0000 0.0000
0.0000 4.4919 0.0134
0.0000 2.5642 5.1231
Sb Be In
1 1 2
Direct
0.5000 0.2500 0.2500
0.5000 0.7500 0.7500
0.0000 0.5939 0.5361
0.0000 0.9061 0.9639
```

Values from the calculation:
Formation energy (no corrections) = 0.34 eV/atom
Density of states at the Fermi level = 0.294 states/eV/atom

[12]
The following is a GGA-PBE calculation of BeIn2Sb after structural relaxation, from Alexandria.

The structure in POSCAR format:
```
BeIn2Sb
1.0
4.0204 -0.0296 0.0928
1.9697 3.5049 0.0928
2.1745 1.2616 7.0834
In Sb Be
2 1 1
Direct
0.0156 0.0156 0.9405
0.2438 0.2438 0.2629
0.4749 0.4749 0.5901
0.7657 0.7657 0.7065
```

Values from the calculation:
Formation energy (no corrections) = 0.19 eV/atom
Density of states at the Fermi level = 0.502 states/eV/atom

[13]
The following is a GGA-PBE calculation of BeIn2Sb after structural relaxation, from Alexandria.

The structure in POSCAR format:
```
BeIn2Sb
1.0
4.0520 0.0000 0.0000
0.0000 5.7052 0.2415
0.0000 3.4757 4.5318
In Sb Be
2 1 1
Direct
0.0000 0.9069 0.9077
0.5000 0.2900 0.2893
0.0000 0.5816 0.5824
0.5000 0.7215 0.7207
```

Values from the calculation:
Formation energy (no corrections) = 0.19 eV/atom
Density of states at the Fermi level = 0.252 states/eV/atom

[14]
The following is a GGA-PBE calculation of BeIn2Sb after structural relaxation, from Alexandria.

The structure in POSCAR format:
```
BeIn2Sb
1.0
6.5450 0.0000 0.0000
0.0000 6.5450 0.0000
3.2725 3.2725 5.4762
Be In Sb
2 4 2
Direct
0.2500 0.7500 0.5000
0.5000 0.5000 0.0000
0.5758 0.1250 0.2500
0.8750 0.8258 0.7500
0.3750 0.4242 0.7500
0.1742 0.6250 0.2500
0.0000 0.0000 0.0000
0.7500 0.2500 0.5000
```

Values from the calculation:
Formation energy (no corrections) = 0.47 eV/atom
Density of states at the Fermi level = 0.738 states/eV/atom

[15]
The following is a GGA-PBE calculation of BeIn2Sb after structural relaxation, from Alexandria.

The structure in POSCAR format:
```
BeIn2Sb
1.0
5.5832 -0.0201 0.0315
1.2274 5.4467 -0.0315
-2.6049 -3.7179 3.2505
Be Sb In
1 1 2
Direct
0.2659 0.7659 0.5000
0.4351 0.4351 0.0000
0.0497 0.0497 0.0000
0.7493 0.2493 0.5000
```

Values from the calculation:
Formation energy (no corrections) = 0.33 eV/atom
Density of states at the Fermi level = 0.417 states/eV/atom

[16]
The following is a GGA-PBE calculation of BeIn2Sb after structural relaxation, from Alexandria.

The structure in POSCAR format:
```
BeIn2Sb
1.0
-0.6749 -3.2025 0.5381
2.2729 -0.8584 -2.2580
5.9535 -0.2327 6.0814
In Be Sb
2 1 1
Direct
0.5000 0.5000 0.2485
0.0000 0.0000 0.9451
0.5000 0.5000 0.7347
0.0000 0.0000 0.5716
```

Values from the calculation:
Formation energy (no corrections) = 0.33 eV/atom
Density of states at the Fermi level = 0.363 states/eV/atom

[17]
The following is a GGA-PBE calculation of BeIn2Sb after structural relaxation, from Alexandria.

The structure in POSCAR format:
```
BeIn2Sb
1.0
3.2641 0.0175 0.0000
-0.5372 3.2197 0.0000
0.0000 0.0000 8.4980
Be In Sb
1 2 1
Direct
0.5000 0.5000 0.7500
0.0000 0.0000 0.9458
0.0000 0.0000 0.5542
0.5000 0.5000 0.2500
```

Values from the calculation:
Formation energy (no corrections) = 0.37 eV/atom
Density of states at the Fermi level = 0.416 states/eV/atom

[18]
The following is a GGA-PBE calculation of BeIn2Sb after structural relaxation, from Alexandria.

The structure in POSCAR format:
```
BeIn2Sb
1.0
-0.9789 -6.7732 -5.2452
-0.5044 -8.3486 -2.0963
-3.7235 -7.1652 -3.0236
In Be Sb
2 1 1
Direct
0.4840 0.4840 0.4840
0.0160 0.0160 0.0160
0.7500 0.7500 0.7500
0.2500 0.2500 0.2500
```

Values from the calculation:
Formation energy (no corrections) = 0.38 eV/atom
Density of states at the Fermi level = 0.473 states/eV/atom

[19]
The following is a GGA-PBE calculation of BeIn2Sb after structural relaxation, from Alexandria.

The structure in POSCAR format:
```
BeIn2Sb
1.0
5.5037 -0.0491 -0.1490
4.3109 3.4219 -0.1490
2.2052 0.7578 4.7680
Sb In Be
1 2 1
Direct
0.2500 0.2500 0.2500
0.4601 0.4601 0.5455
0.0399 0.0399 0.9545
0.7500 0.7500 0.7500
```

Values from the calculation:
Formation energy (no corrections) = 0.44 eV/atom
Density of states at the Fermi level = 0.411 states/eV/atom

[20]
The following is a GGA-PBE calculation of BeIn2Sb after structural relaxation, from Alexandria.

The structure in POSCAR format:
```
BeIn2Sb
1.0
3.4065 0.0234 0.0000
-0.9934 3.2585 0.0000
0.0000 0.0000 8.5963
Be In Sb
1 2 1
Direct
0.5000 0.5000 0.7375
0.0000 0.0000 0.9466
0.5000 0.5000 0.2451
0.0000 0.0000 0.5709
```

Values from the calculation:
Formation energy (no corrections) = 0.30 eV/atom
Density of states at the Fermi level = 0.441 states/eV/atom

[21]
The following is a GGA-PBE calculation of SrBeIn2Sb after structural relaxation, from Alexandria.

The structure in POSCAR format:
```
SrBeIn2Sb
1.0
-0.6546 3.2430 -5.1097
-1.8953 -4.3547 -2.5210
-5.6588 1.4942 1.6733
In Sr Be Sb
2 1 1 1
Direct
0.0000 0.0000 0.5000
0.5000 0.0000 0.0000
0.0000 0.0000 0.0000
0.0000 0.5000 0.0000
0.5000 0.5000 0.5000
```

Values from the calculation:
Formation energy (no corrections) = 1.19 eV/atom
Density of states at the Fermi level = 0.939 states/eV/atom

[22]
The following is a GGA-PBE calculation of BeInSb2Te after structural relaxation, from Alexandria.

The structure in POSCAR format:
```
BeInSb2Te
1.0
4.9554 0.0000 0.0000
0.0000 4.9554 0.0000
0.0000 0.0000 5.6721
Sb Te Be In
2 1 1 1
Direct
0.0000 0.5000 0.0000
0.5000 0.0000 0.0000
0.0000 0.0000 0.5000
0.0000 0.0000 0.0000
0.5000 0.5000 0.5000
```

Values from the calculation:
Formation energy (no corrections) = 0.36 eV/atom
Density of states at the Fermi level = 0.789 states/eV/atom

[23]
The following is a GGA-PBE calculation of BeInSbTe2 after structural relaxation, from Alexandria.

The structure in POSCAR format:
```
BeInSbTe2
1.0
-2.5937 4.6649 0.2195
-2.8956 -1.4094 -4.2622
-3.2437 -1.9373 2.8443
Be Te Sb In
1 2 1 1
Direct
0.0000 0.0000 0.0000
0.5000 0.0000 0.0000
0.0000 0.5000 0.0000
0.0000 0.0000 0.5000
0.5000 0.5000 0.5000
```

Values from the calculation:
Formation energy (no corrections) = 0.26 eV/atom
Density of states at the Fermi level = 0.564 states/eV/atom

[24]
The following is a GGA-PBE calculation of BeInSb2Te after structural relaxation, from Alexandria.

The structure in POSCAR format:
```
BeInSb2Te
1.0
-0.6704 3.2934 4.5889
-4.3528 -3.2462 1.6938
3.6395 -3.3487 2.9350
Be Sb Te In
1 2 1 1
Direct
0.5000 0.5000 0.5000
0.0000 0.5000 0.0000
0.5000 0.0000 0.0000
0.0000 0.0000 0.5000
0.0000 0.0000 0.0000
```

Values from the calculation:
Formation energy (no corrections) = 1.23 eV/atom
Density of states at the Fermi level = 1.299 states/eV/atom

[25]
The following is a GGA-PBE calculation of BeInSbTe2 after structural relaxation, from Alexandria.

The structure in POSCAR format:
```
BeInSbTe2
1.0
5.6920 0.0000 0.0000
0.0000 5.6920 0.0000
0.0000 0.0000 5.6370
Be In Te Sb
1 1 2 1
Direct
0.5000 0.5000 0.5000
0.0000 0.0000 0.0000
0.5000 0.0000 0.0000
0.0000 0.5000 0.0000
0.0000 0.0000 0.5000
```

Values from the calculation:
Formation energy (no corrections) = 1.12 eV/atom
Density of states at the Fermi level = 1.448 states/eV/atom

[26]
The following is a GGA-PBE calculation of Sc2BeIn after structural relaxation, from Alexandria.

The structure in POSCAR format:
```
Sc2BeIn
1.0
-0.8837 0.5404 4.1087
-0.6359 -3.3729 0.3068
4.9827 -2.5711 1.4099
Sc In Be
2 1 1
Direct
0.0000 0.9558 0.9640
0.5000 0.2839 0.3076
0.5000 0.5626 0.7508
0.0000 0.6977 0.4776
```

Values from the calculation:
Density of states at the Fermi level = 0.851 states/eV/atom
Energy relative to the elements = -0.138 eV/atom

[27]
The following is a GGA-PBE calculation of ScBeIn after structural relaxation, from Alexandria.

The structure in POSCAR format:
```
ScBeIn
1.0
5.4278 0.0063 -0.0144
1.4695 3.7212 -0.0011
1.5837 1.5231 5.3910
In Be Sc
2 2 2
Direct
0.5066 0.7753 0.5360
0.0359 0.4087 0.7389
0.3704 0.4627 0.2971
0.1713 0.7217 0.9783
0.9636 0.1626 0.3044
0.5788 0.0213 0.9705
```

Values from the calculation:
Density of states at the Fermi level = 0.801 states/eV/atom
Energy relative to the elements = -0.196 eV/atom

[28]
The following is a GGA-PBE calculation of ScBeIn after structural relaxation, from Alexandria.

The structure in POSCAR format:
```
ScBeIn
1.0
3.9860 0.0000 0.0000
0.0000 6.8306 0.0000
0.0000 0.0000 11.8856
Sc In Be
6 6 6
Direct
0.0000 0.1431 0.2500
0.0000 0.7841 0.0425
0.0000 0.8569 0.7500
0.0000 0.2159 0.5425
0.0000 0.2159 0.9575
0.0000 0.7841 0.4575
0.5000 0.5774 0.8804
0.5000 0.1856 0.7500
0.5000 0.5774 0.6196
0.5000 0.4226 0.1196
0.5000 0.4226 0.3804
0.5000 0.8144 0.2500
0.5000 0.0518 0.4152
0.5000 0.9482 0.5848
0.0000 0.4376 0.7500
0.0000 0.5624 0.2500
0.5000 0.0518 0.0848
0.5000 0.9482 0.9152
```

Values from the calculation:
Density of states at the Fermi level = 0.469 states/eV/atom
Energy relative to the elements = -0.210 eV/atom

[29]
The following is a GGA-PBE calculation of Sc3BeIn after structural relaxation, from Alexandria.

The structure in POSCAR format:
```
Sc3BeIn
1.0
4.8350 0.0000 0.0000
0.0000 4.8350 0.0000
0.0000 0.0000 4.8350
In Sc Be
1 3 1
Direct
0.5000 0.5000 0.5000
0.5000 0.0000 0.0000
0.0000 0.0000 0.5000
0.0000 0.5000 0.0000
0.0000 0.0000 0.0000
```

Values from the calculation:
Density of states at the Fermi level = 1.505 states/eV/atom
Energy relative to the elements = 0.022 eV/atom